DFT (PBE+U) results for an optimized crystal structure of MnIrO3.

- ρ (g/cm³) = 9.87
- DFT total energy (hartree per atom) = -0.20918
- size of the total moment (μB/cell) = 0.000
- symmetry = Pm-3m, No. 221
- crystal system = cubic

a b c (Å): 3.676 3.676 3.676
angles (deg): 90.00 90.00 90.00
Atoms (fractional coordinates):
Mn1 0.000 0.000 0.000
Ir1 0.500 0.500 0.500
O1 0.000 0.000 0.500
O2 0.000 0.500 0.000
O3 0.500 0.000 0.000


DFT (PBE+U) results for an optimized crystal structure of Mn2Ir2O7.

- ρ (g/cm³) = 7.99
- DFT total energy (hartree per atom) = -0.26480
- size of the total moment (μB/cell) = 17.755
- symmetry = Fd-3m, No. 227
- crystal system = cubic

a b c (Å): 7.090 7.090 7.090
angles (deg): 60.00 60.00 60.00
Atoms (fractional coordinates):
Mn1 0.000 0.000 0.000
Mn2 0.000 0.000 0.500
Mn3 0.000 0.500 0.000
Mn4 0.500 0.000 0.000
Ir1 0.000 0.500 0.500
Ir2 0.500 0.000 0.500
Ir3 0.500 0.500 0.000
Ir4 0.500 0.500 0.500
O1 0.125 0.125 0.125
O2 0.167 0.167 0.583
O3 0.167 0.583 0.167
O4 0.167 0.583 0.583
O5 0.417 0.417 0.833
O6 0.417 0.833 0.417
O7 0.417 0.833 0.833
O8 0.583 0.167 0.167
O9 0.583 0.167 0.583
O10 0.583 0.583 0.167
O11 0.833 0.417 0.417
O12 0.833 0.417 0.833
O13 0.833 0.833 0.417
O14 0.875 0.875 0.875


DFT (PBE+U) results for an optimized crystal structure of Mn3IrO6.

- ρ (g/cm³) = 6.44
- DFT total energy (hartree per atom) = -0.27296
- size of the total moment (μB/cell) = 23.998
- symmetry = R-3, No. 148
- crystal system = trigonal

a b c (Å): 6.160 6.160 6.160
angles (deg): 91.68 91.68 91.68
Atoms (fractional coordinates):
Mn1 0.060 0.563 0.753
Mn2 0.247 0.940 0.437
Mn3 0.437 0.247 0.940
Mn4 0.563 0.753 0.060
Mn5 0.753 0.060 0.563
Mn6 0.940 0.437 0.247
Ir1 0.000 0.000 0.000
Ir2 0.500 0.500 0.500
O1 0.042 0.892 0.695
O2 0.108 0.305 0.958
O3 0.199 0.584 0.420
O4 0.305 0.958 0.108
O5 0.416 0.580 0.801
O6 0.420 0.199 0.584
O7 0.580 0.801 0.416
O8 0.584 0.420 0.199
O9 0.695 0.042 0.892
O10 0.801 0.416 0.580
O11 0.892 0.695 0.042
O12 0.958 0.108 0.305


DFT (PBE+U) results for an optimized crystal structure of Mn2IrO6.

- ρ (g/cm³) = 6.66
- DFT total energy (hartree per atom) = -0.25928
- size of the total moment (μB/cell) = 10.669
- symmetry = Pnnm, No. 58
- crystal system = orthorhombic

a b c (Å): 4.518 5.174 8.494
angles (deg): 90.00 90.00 90.00
Atoms (fractional coordinates):
Mn1 0.000 0.000 0.183
Mn2 0.000 0.000 0.817
Mn3 0.500 0.500 0.317
Mn4 0.500 0.500 0.683
Ir1 0.000 0.500 0.000
Ir2 0.500 0.000 0.500
O1 0.209 0.160 0.000
O2 0.232 0.674 0.166
O3 0.232 0.674 0.834
O4 0.268 0.174 0.334
O5 0.268 0.174 0.666
O6 0.291 0.660 0.500
O7 0.709 0.340 0.500
O8 0.732 0.826 0.334
O9 0.732 0.826 0.666
O10 0.768 0.326 0.166
O11 0.768 0.326 0.834
O12 0.791 0.840 0.000